DFT (PBE) results for La2PmTh3Sb6 after structural relaxation.

Output
Fermi-level density of states ... 0.527 states/eV/atom
Raw formation energy ... -1.092 eV per atom
Total energy ... -149.40 eV per cell

```
data_La2PmTh3Sb6
_chemical_formula_sum 'La4 Pm2 Th6 Sb12'
_cell_length_a 19.818
_cell_length_b 4.540
_cell_length_c 9.081
_cell_angle_alpha 90.00
_cell_angle_beta 103.46
_cell_angle_gamma 90.00
_space_group_name_H-M_alt 'C 1 2/m 1'
_space_group_IT_number 12
loop_
_space_group_symop_operation_xyz
'x,y,z'
'-x,-y,-z'
'-x,y,-z'
'x,-y,z'
'x+1/2,y+1/2,z'
'-x+1/2,-y+1/2,-z'
'-x+1/2,y+1/2,-z'
'x+1/2,-y+1/2,z'
loop_
_atom_site_label
_atom_site_fract_x
_atom_site_fract_y
_atom_site_fract_z
_atom_site_occupancy
La1 0.166 0.000 0.332 1
Pm1 0.000 0.500 0.000 1
Th1 0.000 0.500 0.500 1
Th2 0.168 0.000 0.835 1
Sb1 0.002 0.000 0.751 1
Sb2 0.165 0.500 0.587 1
Sb3 0.166 0.500 0.079 1
```